[1]
The following is a DFT calculation (PBE-GGA) of Tl2In5BiPb after structural relaxation.

Unit cell a=8.0226 b=8.0226 c=17.5035 alpha=90.00 beta=90.00 gamma=90.00
With the nearest neighbours (Å) after each atom.
Space group I4/mcm (No. 140)
Unique sites:
Tl (0.1329, 0.3671, 0.0000)  1 Tl 3.01, 4 In 3.04-3.13
In (0.0000, 0.0000, 0.0000)  4 Tl 3.13
In (0.2292, 0.2708, 0.3509)  1 Tl 3.04, 1 Bi 3.14, 2 Pb 3.35
Bi (0.0000, 0.5000, 0.2500)  4 In 3.14
Pb (0.0000, 0.0000, 0.2500)  8 In 3.35

=====

[2]
The following is a DFT calculation (PBE-GGA) of Tl2In2BiPb6 after structural relaxation.

Unit cell a=6.0764 b=7.8268 c=7.8494 alpha=108.49 beta=95.42 gamma=103.08
With the nearest neighbours (Å) after each atom.
Space group P-1 (No. 2)
Unique sites:
Tl (0.0429, 0.1894, 0.4124)  2 In 3.34-3.49, 7 Pb 3.41-3.68, 2 Bi 3.52-3.54, 1 Tl 3.60
In (0.1359, 0.5482, 0.2309)  2 Tl 3.34-3.49, 8 Pb 3.39-3.62, 1 Bi 3.56, 1 In 3.61
Bi (0.5000, 0.0000, 0.5000)  6 Pb 3.49-3.54, 4 Tl 3.52-3.54, 2 In 3.56
Pb (0.2260, 0.9090, 0.0566)  2 Tl 3.41-3.65, 7 Pb 3.46-3.62, 2 In 3.47-3.62, 1 Bi 3.49
Pb (0.3181, 0.2803, 0.8710)  3 In 3.39-3.55, 6 Pb 3.48-3.60, 1 Bi 3.49, 2 Tl 3.60-3.68
Pb (0.4084, 0.6377, 0.6856)  3 Tl 3.45-3.56, 5 Pb 3.46-3.56, 3 In 3.51-3.57, 1 Bi 3.54

=====

[3]
The following is a DFT calculation (PBE-GGA) of TlInBi2Pb5 after structural relaxation.

Unit cell a=4.3442 b=19.5682 c=13.7503 alpha=90.00 beta=90.00 gamma=90.00
With the nearest neighbours (Å) after each atom.
Space group Cmc2_1 (No. 36)
Unique sites:
Tl (0.0000, 0.1064, 0.0000)  4 Pb 3.25-3.44, 2 In 3.31, 2 Bi 3.58
In (0.0000, 0.2860, 0.5980)  2 Bi 3.21, 2 Tl 3.31, 1 Pb 3.46
Bi (0.0000, 0.2918, 0.2297)  2 In 3.21, 5 Pb 3.31-3.39
Bi (0.0000, 0.4792, 0.8994)  8 Pb 3.33-3.61, 2 Tl 3.58
Pb (0.0000, 0.0830, 0.7658)  1 Tl 3.25, 4 Bi 3.31-3.50, 3 Pb 3.41-3.42
Pb (0.0000, 0.1172, 0.5220)  2 Bi 3.33, 4 Pb 3.42-3.60, 1 In 3.46
Pb (0.0000, 0.1204, 0.2671)  3 Bi 3.39-3.44, 5 Pb 3.47-3.57, 2 In 3.67, 1 Tl 3.68
Pb (0.0000, 0.2659, 0.8953)  2 Bi 3.34, 1 Tl 3.44, 4 Pb 3.57-3.60, 2 In 3.68
Pb (0.0000, 0.4835, 0.6368)  2 Bi 3.34-3.61, 2 Tl 3.37, 4 Pb 3.41-3.47

=====

[4]
The following is a DFT calculation (PBE-GGA) of TlIn2BiPb4 after structural relaxation.

Unit cell a=6.6332 b=5.9763 c=7.0713 alpha=90.00 beta=115.12 gamma=90.00
With the nearest neighbours (Å) after each atom.
Space group P2/m (No. 10)
Unique sites:
Tl (0.0000, 0.0000, 0.0000)  2 In 3.32, 6 Pb 3.36-3.43
In (0.0000, 0.5000, 0.5000)  6 Pb 3.16-3.41, 2 Bi 3.32
In (0.5000, 0.0000, 0.0000)  6 Pb 3.05-3.41, 2 Tl 3.32
Bi (0.5000, 0.5000, 0.5000)  6 Pb 3.25-3.43, 2 In 3.32
Pb (0.2497, 0.5000, 0.9935)  3 In 3.16-3.41, 1 Bi 3.25, 2 Pb 3.28-3.35, 2 Tl 3.43
Pb (0.2587, 0.0000, 0.5239)  3 In 3.05-3.41, 2 Pb 3.30-3.36, 1 Tl 3.36

=====

[5]
The following is a DFT calculation (PBE-GGA) of Tl2InBiPb4 after structural relaxation.

Unit cell a=5.7976 b=5.9533 c=7.2851 alpha=90.00 beta=90.10 gamma=90.00
With the nearest neighbours (Å) after each atom.
Space group P2/m (No. 10)
Unique sites:
Tl (0.0000, 0.0000, 0.0000)  8 Pb 3.50-3.55, 2 In 3.64
Tl (0.5000, 0.5000, 0.0000)  8 Pb 3.49-3.57, 2 Bi 3.64
In (0.0000, 0.0000, 0.5000)  8 Pb 3.34-3.43, 2 Tl 3.64
Bi (0.5000, 0.5000, 0.5000)  8 Pb 3.36-3.42, 2 Tl 3.64
Pb (0.0000, 0.5000, 0.2665)  2 Bi 3.36, 1 Pb 3.40, 2 In 3.43, 4 Tl 3.49-3.55
Pb (0.4984, 0.0000, 0.7301)  2 In 3.34-3.36, 1 Pb 3.35, 2 Bi 3.42, 4 Tl 3.50-3.57

=====

[6]
The following is a DFT calculation (PBE-GGA) of Tl3In4Bi2Pb2 after structural relaxation.

Unit cell a=5.4021 b=5.4021 c=13.7257 alpha=90.00 beta=90.00 gamma=120.00
With the nearest neighbours (Å) after each atom.
Space group P-3m1 (No. 164)
Unique sites:
Tl (0.0000, 0.0000, 0.0000)  6 Bi 3.48, 2 Tl 3.77, 6 In 3.84
Tl (0.0000, 0.0000, 0.2748)  6 In 3.28-3.47, 3 Pb 3.64
In (0.3333, 0.6667, 0.3479)  1 Bi 3.23, 4 Pb 3.24-3.30, 3 Tl 3.28
In (0.3333, 0.6667, 0.8366)  3 Bi 3.19, 1 Pb 3.40, 3 Tl 3.47
Bi (0.3333, 0.6667, 0.1129)  4 In 3.19-3.23, 3 Tl 3.48
Pb (0.3333, 0.6667, 0.5886)  5 In 3.24-3.40

=====

[7]
The following is a DFT calculation (PBE-GGA) of TlIn4BiPb2 after structural relaxation.

Unit cell a=8.6905 b=9.1867 c=12.7248 alpha=90.00 beta=90.00 gamma=90.00
With the nearest neighbours (Å) after each atom.
Space group Imma (No. 74)
Unique sites:
Tl (0.0000, 0.0000, 0.0000)  6 In 3.23-3.24
In (0.0000, 0.0042, 0.2545)  3 Pb 3.12-3.19, 2 Bi 3.13, 1 Tl 3.24
In (0.2392, 0.2500, 0.4970)  3 Pb 3.10-3.22, 1 Bi 3.14, 2 Tl 3.23
Bi (0.2500, 0.2500, 0.2500)  6 In 3.13-3.14
Pb (0.0000, 0.0000, 0.5000)  6 In 3.10-3.12
Pb (0.2500, 0.2500, 0.7500)  6 In 3.19-3.22

=====

[8]
The following is a DFT calculation (PBE-GGA) of Tl5In2BiPb after structural relaxation.

Unit cell a=7.7053 b=7.7053 c=19.5992 alpha=90.00 beta=90.00 gamma=90.00
With the nearest neighbours (Å) after each atom.
Space group I4/mcm (No. 140)
Unique sites:
Tl (0.0000, 0.0000, 0.0000)  4 In 3.01
Tl (0.2312, 0.2688, 0.1404)  1 In 3.13, 1 Bi 3.31, 2 Pb 3.48
In (0.1319, 0.3681, 0.5000)  1 In 2.88, 4 Tl 3.01-3.13
Bi (0.0000, 0.5000, 0.2500)  8 Tl 3.31-3.63
Pb (0.0000, 0.0000, 0.2500)  8 Tl 3.48, 4 Bi 3.85

=====

[9]
The following is a DFT calculation (PBE-GGA) of InBi2PbW after structural relaxation.

Unit cell a=5.9817 b=5.9817 c=5.3369 alpha=90.00 beta=90.00 gamma=90.00
With the nearest neighbours (Å) after each atom.
Space group P4/mmm (No. 123)
Unique sites:
In (0.0000, 0.0000, 0.0000)  8 Bi 4.01, 4 W 4.23
Bi (0.0000, 0.5000, 0.5000)  2 Pb 2.99
Pb (0.5000, 0.5000, 0.5000)  2 W 2.67
W (0.5000, 0.5000, 0.0000)  2 Pb 2.67

=====

[10]
The following is a DFT calculation (PBE-GGA) of Zn2InBiPb after structural relaxation.

Unit cell a=5.0432 b=5.0432 c=6.0628 alpha=90.00 beta=90.00 gamma=90.00
With the nearest neighbours (Å) after each atom.
Space group P4/mmm (No. 123)
Unique sites:
Zn (0.0000, 0.5000, 0.0000)  2 In 2.52
In (0.0000, 0.0000, 0.0000)  4 Zn 2.52
Bi (0.5000, 0.5000, 0.5000)  4 Pb 3.57, 8 Zn 3.94
Pb (0.0000, 0.0000, 0.5000)  2 In 3.03

=====

[11]
The following is a DFT calculation (PBE-GGA) of In2BiPd6 after structural relaxation.

Unit cell a=7.6195 b=7.6195 c=3.2166 alpha=90.00 beta=90.00 gamma=120.00
With the nearest neighbours (Å) after each atom.
Space group P-62m (No. 189)
Unique sites:
In (0.3333, 0.6667, 0.0000)  9 Pd 2.68-2.88
Bi (0.0000, 0.0000, 0.5000)  9 Pd 2.79-2.87
Pd (0.0000, 0.3766, 0.5000)  1 Bi 2.87, 4 In 2.88, 6 Pd 2.95-3.08
Pd (0.0000, 0.7012, 0.0000)  2 In 2.68, 2 Bi 2.79, 2 Pd 2.95

=====

[12]
The following is a DFT calculation (PBE-GGA) of In2BiPd after structural relaxation.

Unit cell a=4.7525 b=4.7525 c=18.7828 alpha=90.00 beta=90.00 gamma=90.00
With the nearest neighbours (Å) after each atom.
Space group I-42d (No. 122)
Unique sites:
In (0.1829, 0.2500, 0.1250)  2 Pd 2.77, 2 In 2.94, 2 Bi 3.03
Bi (0.0000, 0.0000, 0.5000)  4 In 3.03, 4 Pd 3.36
Pd (0.0000, 0.0000, 0.0000)  4 In 2.77

=====

no.,DFT formation energy (eV per atom),energy (eV/atom)
1,0.118,-2.773
2,0.007,-3.297
3,0.046,-3.444
4,0.090,-3.229
5,0.018,-3.255
6,0.036,-2.985
7,0.124,-2.954
8,0.082,-2.684
9,1.544,-3.888
10,0.449,-2.126
11,-0.365,-4.867
12,-0.025,-3.662